First-principles (PBE-GGA) data for PrBi2Rh after structural relaxation, as listed in the Alexandria database.

For the density, the calculation gives 10.28 g/cm3. The calculation puts the total magnetization at 0.000 μB/atom. The calculation puts the energy of formation from the pure elements at -0.5728 eV/atom. The crystal system is tetragonal.

It has space group I4/mmm (No. 139), with a = 4.6414 Å, b = 4.6414 Å, c = 19.8463 Å, α = 90.00°, β = 90.00° and γ = 90.00°. Symmetry generates all atoms from Pr at (0.0000, 0.0000, 0.1344), Bi at (0.0000, 0.0000, 0.3272), Bi at (0.0000, 0.5000, 0.0000) and Rh at (0.0000, 0.5000, 0.2500).